(1)
Entry from Alexandria via LeMat-Bulk: an optimized crystal structure of Pr2Mg16Sn (PBE).

Electronic total energy, eV per cell: -40.9
Space-group type: R3m
Magnetization, μB/atom: 0.000
Mass density, kg/m3: 2813
DOS(E_F), states/eV/f.u.: 7.3

Lattice parameters (Å, degrees): 7.8151 7.8151 7.8151 82.51 82.51 82.51
Last column: nearest neighbours and their distance in Å.
Fractional coordinates of all 19 atoms:
Mg (0.6482, 0.6482, 0.1705)  8 Mg 2.91-3.17
Mg (0.3094, 0.0014, 0.6916)  8 Mg 3.00-3.19
Mg (0.1705, 0.6482, 0.6482)  8 Mg 2.91-3.17
Mg (0.6916, 0.3094, 0.0014)  8 Mg 3.00-3.19
Mg (0.0017, 0.4980, 0.0017)  9 Mg 2.99-3.17, 1 Sn 3.15
Mg (0.8418, 0.3476, 0.3476)  8 Mg 2.91-3.15
Mg (0.3476, 0.3476, 0.8418)  8 Mg 2.91-3.15
Mg (0.0014, 0.3094, 0.6916)  8 Mg 3.00-3.19
Mg (0.3094, 0.6916, 0.0014)  8 Mg 3.00-3.19
Mg (0.0017, 0.0017, 0.4980)  9 Mg 2.99-3.17, 1 Sn 3.15
Mg (0.3476, 0.8418, 0.3476)  8 Mg 2.91-3.15
Mg (0.6916, 0.0014, 0.3094)  8 Mg 3.00-3.19
Mg (0.0919, 0.0919, 0.0919)  1 Sn 2.95, 6 Mg 3.17-3.29
Mg (0.6482, 0.1705, 0.6482)  8 Mg 2.91-3.17
Mg (0.0014, 0.6916, 0.3094)  8 Mg 3.00-3.19
Mg (0.4980, 0.0017, 0.0017)  9 Mg 2.99-3.17, 1 Sn 3.15
Sn (0.8977, 0.8977, 0.8977)  4 Mg 2.95-3.15
Pr (0.3262, 0.3262, 0.3262)  16 Mg 3.56-3.82
Pr (0.6739, 0.6739, 0.6739)  1 Sn 3.40, 6 Mg 3.57

***

(2)
Entry from Alexandria via LeMat-Bulk: an optimized crystal structure of CaBe2Ir (PBE).

Electronic total energy, eV per cell: -18.3
Space-group type: I4/mmm
Excess energy over the best structure of this formula in the dataset, meV/atom: 377.0
Magnetization, μB/atom: 0.000
Mass density, kg/m3: 7415
DOS(E_F), states/eV/f.u.: 1.1

Lattice parameters (Å, degrees): 4.4552 4.4552 4.4552 125.87 125.87 80.10
Last column: nearest neighbours and their distance in Å.
Fractional coordinates of all 4 atoms:
Be (0.5000, 0.5000, 0.0000)  4 Ir 2.65, 4 Ca 2.65, 4 Be 2.87
Be (0.0000, 0.0000, 0.0000)  4 Ca 2.65, 4 Ir 2.65, 4 Be 2.87
Ir (0.7500, 0.2500, 0.5000)  8 Be 2.65, 4 Ca 2.87
Ca (0.2500, 0.7500, 0.5000)  8 Be 2.65, 4 Ir 2.87

***

(3)
Entry from Alexandria via LeMat-Bulk: an optimized crystal structure of Pr6Dy3Y2In (PBE).

Electronic total energy, eV per cell: -58.6
Space-group type: C2/m
Magnetization, μB/atom: 0.000
Mass density, kg/m3: 6820
DOS(E_F), states/eV/f.u.: 14.8

Lattice parameters (Å, degrees): 6.2502 6.2502 11.9066 95.08 95.08 120.16
Last column: nearest neighbours and their distance in Å.
Fractional coordinates of all 12 atoms:
Y (0.3336, 0.6664, 0.0000)  6 Pr 3.59-3.60, 3 In 3.60-3.61, 3 Y 3.61
Y (0.6664, 0.3336, 0.0000)  6 Pr 3.59-3.60, 3 In 3.60-3.61, 3 Y 3.61
Pr (0.2438, 0.2438, 0.7501)  6 Pr 3.53-3.65, 1 In 3.57, 3 Dy 3.59-3.62, 2 Y 3.60
Pr (0.7562, 0.7562, 0.2499)  6 Pr 3.53-3.65, 1 In 3.57, 3 Dy 3.59-3.62, 2 Y 3.60
Pr (0.0822, 0.4089, 0.2485)  6 Pr 3.53-3.65, 1 In 3.55, 2 Y 3.59-3.60, 3 Dy 3.60-3.63
Pr (0.5911, 0.9178, 0.7515)  6 Pr 3.53-3.65, 1 In 3.55, 2 Y 3.59-3.60, 3 Dy 3.60-3.63
Pr (0.9178, 0.5911, 0.7515)  6 Pr 3.53-3.65, 1 In 3.55, 2 Y 3.59-3.60, 3 Dy 3.60-3.63
Pr (0.4089, 0.0822, 0.2485)  6 Pr 3.53-3.65, 1 In 3.55, 2 Y 3.59-3.60, 3 Dy 3.60-3.63
Dy (0.5000, 0.5000, 0.5000)  6 Pr 3.60-3.62, 6 Dy 3.60-3.61
Dy (0.1679, 0.8321, 0.5000)  6 Pr 3.59-3.63, 6 Dy 3.59-3.64
Dy (0.8321, 0.1679, 0.5000)  6 Pr 3.59-3.63, 6 Dy 3.59-3.64
In (0.0000, 0.0000, 0.0000)  6 Pr 3.55-3.57, 6 Y 3.60-3.61

***

(4)
Entry from Alexandria via LeMat-Bulk: an optimized crystal structure of DyHoSc4 (PBE).

Electronic total energy, eV per cell: -33.1
Space-group type: F-43m
Excess energy over the best structure of this formula in the dataset, meV/atom: 203.8
Magnetization, μB/atom: 1.012
Mass density, kg/m3: 4874
DOS(E_F), states/eV/f.u.: 13.2

Lattice parameters (Å, degrees): 6.2521 6.2521 6.2521 60.00 60.00 60.00
Last column: nearest neighbours and their distance in Å.
Fractional coordinates of all 6 atoms:
Sc (0.1251, 0.6250, 0.6250)  6 Sc 3.13
Sc (0.6250, 0.6250, 0.6250)  6 Sc 3.13
Sc (0.6250, 0.1251, 0.6250)  6 Sc 3.13
Sc (0.6250, 0.6250, 0.1251)  6 Sc 3.13
Ho (0.0000, 0.0000, 0.0000)  12 Sc 3.67, 4 Dy 3.83
Dy (0.2500, 0.2500, 0.2500)  12 Sc 3.67, 4 Ho 3.83

***

(5)
Entry from Alexandria via LeMat-Bulk: an optimized crystal structure of ScTiHg2 (PBE).

Electronic total energy, eV per cell: -28.5
Space-group type: I-42d
Excess energy over the best structure of this formula in the dataset, meV/atom: 336.4
Magnetization, μB/atom: 0.379
Mass density, kg/m3: 9051
DOS(E_F), states/eV/f.u.: 4.4

Lattice parameters (Å, degrees): 7.6180 7.6180 6.2269 52.29 52.29 90.00
Last column: nearest neighbours and their distance in Å.
Fractional coordinates of all 8 atoms:
Sc (0.5000, 0.5000, 0.0000)  4 Hg 2.88, 2 Ti 3.12
Sc (0.2500, 0.7500, 0.5000)  4 Hg 2.88, 2 Ti 3.12
Hg (0.6387, 0.1250, 0.2500)  2 Ti 2.73, 2 Sc 2.88
Hg (0.1113, 0.6250, 0.2500)  2 Ti 2.73, 2 Sc 2.88
Hg (0.8750, 0.8887, 0.7500)  2 Ti 2.73, 2 Sc 2.88
Hg (0.3750, 0.3613, 0.7500)  2 Ti 2.73, 2 Sc 2.88
Ti (0.7500, 0.2500, 0.5000)  4 Hg 2.73
Ti (0.0000, 0.0000, 0.0000)  4 Hg 2.73